1.
# PBE-GGA Ga2SiF, optimized geometry
data_Ga2SiF
_symmetry_space_group_name_H-M 'F m -3 m'
_symmetry_Int_Tables_number 225
_symmetry_space_group_name_Hall '-F 4 2 3'
_cell_length_a 6.2391
_cell_length_b 6.2391
_cell_length_c 6.2391
_cell_angle_alpha 90.00
_cell_angle_beta 90.00
_cell_angle_gamma 90.00
loop_
_atom_site_label
_atom_site_type_symbol
_atom_site_fract_x
_atom_site_fract_y
_atom_site_fract_z
Ga1 Ga 0.2500 0.2500 0.2500
Si1 Si 0.0000 0.0000 0.0000
F1 F 0.0000 0.0000 0.5000
# - Volume: 15.18 Å³/atom
# - Total magnetization: 0.00 μB/cell
# - Uncorrected energy: -61.203 eV per cell
# - E above lowest polymorph: 0 meV per atom
# - Formation energy from raw total energies: -0.49 eV/atom

=====

2.
# PBE-GGA SrPrCuHg, optimized geometry
data_SrPrCuHg
_symmetry_space_group_name_H-M 'F -4 3 m'
_symmetry_Int_Tables_number 216
_symmetry_space_group_name_Hall 'F -4 2 3'
_cell_length_a 7.6342
_cell_length_b 7.6342
_cell_length_c 7.6342
_cell_angle_alpha 90.00
_cell_angle_beta 90.00
_cell_angle_gamma 90.00
loop_
_atom_site_label
_atom_site_type_symbol
_atom_site_fract_x
_atom_site_fract_y
_atom_site_fract_z
Sr1 Sr 0.0000 0.0000 0.0000
Pr1 Pr 0.0000 0.0000 0.5000
Cu1 Cu 0.2500 0.2500 0.2500
Hg1 Hg 0.2500 0.2500 0.7500
# - Formation enthalpy at 0 K: -223.4 meV per atom
# - Volume: 27.81 Å³/atom
# - Total magnetization: 0.00 μB/cell
# - Uncorrected energy: -47.012 eV per cell

=====

3.
# PBE-GGA TaPbS2, optimized geometry
data_TaPbS2
_symmetry_space_group_name_H-M 'P 63/m m c'
_symmetry_Int_Tables_number 194
_symmetry_space_group_name_Hall '-P 6c 2c'
_cell_length_a 3.3730
_cell_length_b 3.3730
_cell_length_c 18.1057
_cell_angle_alpha 90.00
_cell_angle_beta 90.00
_cell_angle_gamma 120.00
loop_
_atom_site_label
_atom_site_type_symbol
_atom_site_fract_x
_atom_site_fract_y
_atom_site_fract_z
Ta1 Ta 0.3333 0.6667 0.2500
Pb1 Pb 0.0000 0.0000 0.0000
S1 S 0.0000 0.0000 0.1646
# - Volume: 22.30 Å³/atom
# - Total magnetization: 0.00 μB/cell
# - Uncorrected energy: -54.640 eV per cell
# - Formation energy from raw total energies: -0.88 eV/atom

=====

4.
# PBE-GGA In2OsCl, optimized geometry
data_In2OsCl
_symmetry_space_group_name_H-M 'F -4 3 m'
_symmetry_Int_Tables_number 216
_symmetry_space_group_name_Hall 'F -4 2 3'
_cell_length_a 6.8264
_cell_length_b 6.8264
_cell_length_c 6.8264
_cell_angle_alpha 90.00
_cell_angle_beta 90.00
_cell_angle_gamma 90.00
loop_
_atom_site_label
_atom_site_type_symbol
_atom_site_fract_x
_atom_site_fract_y
_atom_site_fract_z
In1 In 0.0000 0.0000 0.0000
In2 In 0.2500 0.2500 0.2500
Os1 Os 0.0000 0.0000 0.5000
Cl1 Cl 0.2500 0.2500 0.7500
# - Volume: 19.88 Å³/atom
# - Total magnetization: 0.00 μB/cell
# - Uncorrected energy: -61.363 eV per cell
# - E above lowest polymorph: 779 meV per atom
# - Formation energy from raw total energies: 0.80 eV/atom

=====

5.
# PBE-GGA TbPuCuSe4, optimized geometry
data_TbPuCuSe4
_symmetry_space_group_name_H-M 'P 1 21/m 1'
_symmetry_Int_Tables_number 11
_symmetry_space_group_name_Hall '-P 2yb'
_cell_length_a 7.0746
_cell_length_b 5.7709
_cell_length_c 8.1800
_cell_angle_alpha 90.00
_cell_angle_beta 106.58
_cell_angle_gamma 90.00
loop_
_atom_site_label
_atom_site_type_symbol
_atom_site_fract_x
_atom_site_fract_y
_atom_site_fract_z
Tb1 Tb 0.2340 0.2500 0.4327
Pu1 Pu 0.2347 0.2500 0.9369
Cu1 Cu 0.2371 0.7500 0.1825
Se1 Se 0.0713 0.7500 0.3988
Se2 Se 0.0740 0.7500 0.8853
Se3 Se 0.4839 0.5086 0.7412
# - Volume: 22.86 Å³/atom
# - Total magnetization: 10.40 μB/cell
# - Uncorrected energy: -90.750 eV per cell
# - Formation energy from raw total energies: -1.20 eV/atom

=====

6.
# PBE-GGA SrSc2As2, optimized geometry
data_SrSc2As2
_symmetry_space_group_name_H-M 'I 4/m m m'
_symmetry_Int_Tables_number 139
_symmetry_space_group_name_Hall '-I 4 2'
_cell_length_a 4.3922
_cell_length_b 4.3922
_cell_length_c 13.1816
_cell_angle_alpha 90.00
_cell_angle_beta 90.00
_cell_angle_gamma 90.00
loop_
_atom_site_label
_atom_site_type_symbol
_atom_site_fract_x
_atom_site_fract_y
_atom_site_fract_z
Sr1 Sr 0.0000 0.0000 0.0000
Sc1 Sc 0.0000 0.5000 0.2500
As1 As 0.0000 0.0000 0.3725
# - Formation enthalpy at 0 K: -1021.2 meV per atom
# - Volume: 25.43 Å³/atom
# - Total magnetization: 2.08 μB/cell
# - Uncorrected energy: -57.500 eV per cell
# - E above lowest polymorph: 0 meV per atom

=====

Please write out number 4 again, unchanged.
# PBE-GGA In2OsCl, optimized geometry
data_In2OsCl
_symmetry_space_group_name_H-M 'F -4 3 m'
_symmetry_Int_Tables_number 216
_symmetry_space_group_name_Hall 'F -4 2 3'
_cell_length_a 6.8264
_cell_length_b 6.8264
_cell_length_c 6.8264
_cell_angle_alpha 90.00
_cell_angle_beta 90.00
_cell_angle_gamma 90.00
loop_
_atom_site_label
_atom_site_type_symbol
_atom_site_fract_x
_atom_site_fract_y
_atom_site_fract_z
In1 In 0.0000 0.0000 0.0000
In2 In 0.2500 0.2500 0.2500
Os1 Os 0.0000 0.0000 0.5000
Cl1 Cl 0.2500 0.2500 0.7500
# - Volume: 19.88 Å³/atom
# - Total magnetization: 0.00 μB/cell
# - Uncorrected energy: -61.363 eV per cell
# - E above lowest polymorph: 779 meV per atom
# - Formation energy from raw total energies: 0.80 eV/atom